Version P
Al5Ag3 | Alexandria | GGA-PBE | relaxed; DOS at the Fermi energy = 1.5 states/eV/f.u.; space group = Pm, No. 6; spin magnetization = 0.0000 μB per atom
1.0
2.9694 0.0000 0.0000
0.0000 9.1884 -0.0922
0.0000 -0.7898 4.9802
Ag Al
3 5
direct
0.5000 0.5064 0.9991
0.5000 0.2524 0.2699
0.0000 0.9912 0.9824
0.0000 0.7503 0.2495
0.0000 0.4993 0.5000
0.0000 0.2494 0.7675
0.5000 0.0016 0.4899
0.5000 0.7493 0.7416


Version Q
Al5Ag3 | Alexandria | GGA-PBE | relaxed; DOS at the Fermi energy = 1.7 states/eV/f.u.; space group = I-4m2, No. 119; spin magnetization = 0.0000 μB per atom
1.0
4.0497 0.0000 0.0000
-2.0248 8.5277 0.0051
0.0000 -0.9639 3.9333
Al Ag
5 3
direct
0.7493 0.4987 0.7493
0.3745 0.7489 0.8745
0.2507 0.5013 0.2507
0.1255 0.2511 0.6255
0.5000 0.0000 0.5000
0.0000 0.0000 0.0000
0.6255 0.2510 0.1255
0.8745 0.7490 0.3745


Version R
Al5Ag3 | Alexandria | GGA-PBE | relaxed; DOS at the Fermi energy = 2.1 states/eV/f.u.; space group = P1, No. 1; spin magnetization = 0.0000 μB per atom
1.0
5.2277 -0.0487 -0.1533
1.5735 5.2121 0.0684
-1.0068 0.3423 5.0592
Al Ag
5 3
direct
0.9971 0.7463 0.4960
0.5054 0.8847 0.7504
0.4976 0.6222 0.2542
0.0016 0.2497 0.4989
0.0003 0.4936 0.9952
0.5013 0.1200 0.2522
0.4980 0.3927 0.7464
0.9986 0.9908 0.0067


Version S
Al5Ag3 | Alexandria | GGA-PBE | relaxed; DOS at the Fermi energy = 1.7 states/eV/f.u.; space group = Cm, No. 8; spin magnetization = 0.0000 μB per atom
1.0
3.0167 0.0000 0.0000
1.5084 9.0228 -0.0108
0.0000 0.4567 4.9641
Al Ag
5 3
direct
0.6259 0.7483 0.8771
0.1247 0.7505 0.3772
0.8770 0.2459 0.6235
0.2491 0.5018 0.7435
0.7491 0.5019 0.2538
0.0040 0.9920 0.0023
0.3686 0.2628 0.1180
0.5017 0.9967 0.5047


Short version: version S is the most stable of them.


Version P
Al5Ag3 | Alexandria | GGA-PBE | relaxed; DOS at the Fermi energy = 2.0 states/eV/f.u.; space group = Cm, No. 8; spin magnetization = 0.0000 μB per atom
1.0
-1.1202 1.2826 -4.6959
-4.2568 -4.5323 1.5801
-1.0099 3.8627 3.0019
Ag Al
3 5
direct
0.6339 0.2664 0.1339
0.4939 0.9891 0.4938
0.9938 0.9891 0.9939
0.8751 0.7514 0.3751
0.1306 0.2594 0.6306
0.7483 0.4968 0.7489
0.3756 0.7509 0.8756
0.2489 0.4968 0.2483


Version Q
Al5Ag3 | Alexandria | GGA-PBE | relaxed; DOS at the Fermi energy = 3.0 states/eV/f.u.; space group = C222, No. 21; spin magnetization = 0.0000 μB per atom
1.0
5.0539 0.0000 -0.0618
0.0000 5.6333 0.0000
1.6425 0.0000 4.7799
Al Ag
5 3
direct
0.5000 0.7500 0.0000
0.0000 0.4955 0.0000
0.5000 0.2500 0.0000
0.0000 0.7500 0.5000
0.5000 0.0045 0.5000
0.0000 0.2500 0.5000
0.5000 0.5091 0.5000
0.0000 0.9909 0.0000


Version R
Al5Ag3 | Alexandria | GGA-PBE | relaxed; DOS at the Fermi energy = 3.9 states/eV/f.u.; space group = P4/mmm, No. 123; spin magnetization = 0.0000 μB per atom
1.0
2.8649 0.0000 0.0000
0.0000 2.8649 0.0000
0.0000 0.0000 16.5565
Al Ag
5 3
direct
0.5000 0.5000 0.6241
0.5000 0.5000 0.3759
0.0000 0.0000 0.0000
0.0000 0.0000 0.2498
0.0000 0.0000 0.7502
0.5000 0.5000 0.8764
0.0000 0.0000 0.5000
0.5000 0.5000 0.1236


Version S
Al5Ag3 | Alexandria | GGA-PBE | relaxed; DOS at the Fermi energy = 2.8 states/eV/f.u.; space group = I4mm, No. 107; spin magnetization = 0.0000 μB per atom
1.0
4.0496 0.0000 0.0000
-2.0248 8.5136 0.0044
0.0000 -0.9652 3.9329
Al Ag
5 3
direct
0.3749 0.7498 0.8749
0.1229 0.2458 0.6229
0.8754 0.7508 0.3754
0.7504 0.5007 0.7504
0.2504 0.5007 0.2504
0.6309 0.2619 0.1309
0.9976 0.9951 0.9976
0.4976 0.9951 0.4976


Short version: version P is the most stable of them.


Version P
Al5Ag | Alexandria | GGA-PBE | relaxed; DOS at the Fermi energy = 2.0 states/eV/f.u.; space group = P4/mmm, No. 123; spin magnetization = 0.0000 μB per atom
1.0
2.9050 0.0000 0.0000
0.0000 2.9050 0.0000
0.0000 0.0000 11.8610
Al Ag
5 1
direct
0.0000 0.0000 0.1677
0.0000 0.0000 0.8323
0.5000 0.5000 0.6632
0.5000 0.5000 0.3368
0.0000 0.0000 0.5000
0.5000 0.5000 0.0000


Version Q
Al5Ag | Alexandria | GGA-PBE | relaxed; DOS at the Fermi energy = 2.5 states/eV/f.u.; space group = Cmmm, No. 65; spin magnetization = 0.0000 μB per atom
1.0
4.1281 0.0000 0.0000
0.0000 6.2963 -0.0262
0.0000 -1.3194 3.8829
Al Ag
5 1
direct
0.0000 0.3355 0.6678
0.5000 0.0000 0.5000
0.0000 0.6645 0.3322
0.5000 0.6615 0.8308
0.5000 0.3385 0.1692
0.0000 0.0000 0.0000


Version R
Al5Ag | Alexandria | GGA-PBE | relaxed; DOS at the Fermi energy = 2.0 states/eV/f.u.; space group = Amm2, No. 38; spin magnetization = 0.0000 μB per atom
1.0
-0.8615 -2.8491 7.2540
1.4960 0.0185 -7.6969
4.3635 0.8451 0.8502
Al Ag
5 1
direct
0.7790 0.2210 0.5000
0.6640 0.3360 0.0000
0.1120 0.8880 0.5000
0.3352 0.6648 0.0000
0.4456 0.5544 0.5000
0.9976 0.0024 0.0000


Version S
Al5Ag | Alexandria | GGA-PBE | relaxed; DOS at the Fermi energy = 1.5 states/eV/f.u.; space group = P-1, No. 2; spin magnetization = 0.0000 μB per atom
1.0
2.9349 -0.0070 0.0161
-0.0118 4.8594 0.0103
1.5021 2.4701 7.0575
Ag Al
1 5
direct
0.0000 0.0000 0.0000
0.6651 0.3379 0.6650
0.3349 0.6621 0.3350
0.1661 0.8353 0.6615
0.8339 0.1647 0.3385
0.5000 0.5000 0.0000


Short version: version S is the most stable of them.


Version P
Al5Ag | Alexandria | GGA-PBE | relaxed; DOS at the Fermi energy = 2.3 states/eV/f.u.; space group = P-3m1, No. 164; spin magnetization = 0.0000 μB per atom
1.0
2.8706 0.0000 0.0000
0.0000 14.0597 0.0000
-1.4353 0.0000 2.4860
Ag Al
1 5
direct
0.0000 0.0000 0.0000
0.0000 0.5000 0.0000
0.3333 0.6684 0.6667
0.6667 0.3316 0.3333
0.3333 0.1652 0.6667
0.6667 0.8348 0.3333


Version Q
Al5Ag | Alexandria | GGA-PBE | relaxed; DOS at the Fermi energy = 1.4 states/eV/f.u.; space group = Cm, No. 8; spin magnetization = 0.0000 μB per atom
1.0
5.4339 -0.0469 0.0337
4.6948 2.7366 0.0337
2.0514 0.5447 6.7325
Ag Al
1 5
direct
0.9980 0.9980 0.9943
0.7179 0.7179 0.0596
0.3854 0.3854 0.7194
0.6709 0.6709 0.6613
0.3360 0.3360 0.3339
0.0585 0.0585 0.3981


Version R
Al5Ag | Alexandria | GGA-PBE | relaxed; DOS at the Fermi energy = 1.8 states/eV/f.u.; space group = Pmmm, No. 47; spin magnetization = 0.0000 μB per atom
1.0
2.8962 0.0000 0.0000
0.0000 8.5413 0.0000
0.0000 0.0000 4.0711
Ag Al
1 5
direct
0.0000 0.0000 0.0000
0.5000 0.8312 0.5000
0.0000 0.6640 0.0000
0.0000 0.3360 0.0000
0.5000 0.5000 0.5000
0.5000 0.1688 0.5000


Version S
Al5Ag | Alexandria | GGA-PBE | relaxed; DOS at the Fermi energy = 3.0 states/eV/f.u.; space group = F-43m, No. 216; spin magnetization = 0.0000 μB per atom
1.0
0.0000 3.7727 3.7727
3.7727 0.0000 3.7727
3.7727 3.7727 0.0000
Ag Al
1 5
direct
0.0000 0.0000 0.0000
0.3751 0.8747 0.3751
0.3751 0.3751 0.3751
0.8747 0.3751 0.3751
0.3751 0.3751 0.8747
0.7500 0.7500 0.7500


Short version: version P is the most stable of them.


Version P
Al7Ag5 | Alexandria | GGA-PBE | relaxed; DOS at the Fermi energy = 4.1 states/eV/f.u.; space group = C2/m, No. 12; spin magnetization = 0.0000 μB per atom
1.0
2.9293 0.0000 0.4620
1.1786 6.8680 2.0449
-0.1097 0.0758 10.2138
Al Ag
7 5
direct
0.5000 0.5000 0.5000
0.6495 0.9670 0.7341
0.3328 0.3278 0.0067
0.0229 0.7077 0.2464
0.9771 0.2923 0.7536
0.6672 0.6722 0.9933
0.3505 0.0330 0.2659
0.6884 0.3824 0.2408
0.1617 0.1784 0.4982
0.8383 0.8216 0.5018
0.0000 0.0000 0.0000
0.3116 0.6176 0.7592


Version Q
Al7Ag5 | Alexandria | GGA-PBE | relaxed; DOS at the Fermi energy = 4.3 states/eV/f.u.; space group = C2/m, No. 12; spin magnetization = 0.0000 μB per atom
1.0
3.0400 0.0000 0.0000
-1.5200 6.7728 0.1371
0.0000 -2.7741 10.5590
Ag Al
5 7
direct
0.8947 0.7895 0.6367
0.7581 0.5162 0.8056
0.0000 0.0000 0.0000
0.2419 0.4838 0.1944
0.1053 0.2105 0.3633
0.9195 0.8390 0.2336
0.7853 0.5707 0.4044
0.2147 0.4293 0.5956
0.5000 0.0000 0.5000
0.3425 0.6849 0.0096
0.0805 0.1610 0.7664
0.6575 0.3151 0.9904


Short version: version P is the most stable of them.


Version P
Al7Ag5 | Alexandria | GGA-PBE | relaxed; DOS at the Fermi energy = 3.7 states/eV/f.u.; space group = C2/m, No. 12; spin magnetization = 0.0000 μB per atom
1.0
-2.2550 -1.9003 5.0549
-4.4963 -3.5011 -5.0580
2.8871 -3.6067 -3.1785
Al Ag
7 5
direct
0.6667 0.3333 0.1667
0.9943 0.0003 0.4970
0.4908 0.0037 0.9947
0.8425 0.6630 0.3387
0.3391 0.6663 0.8364
0.4908 0.0037 0.4925
0.8425 0.6630 0.8408
0.3525 0.6780 0.3373
0.1667 0.3333 0.6667
0.6667 0.3333 0.6667
0.1667 0.3333 0.1667
0.9808 0.9887 0.9960


Version Q
Al7Ag5 | Alexandria | GGA-PBE | relaxed; DOS at the Fermi energy = 3.0 states/eV/f.u.; space group = Pmm2, No. 25; spin magnetization = 0.0000 μB per atom
1.0
-4.5539 0.9519 -6.6337
-2.2480 -1.2107 1.3694
-2.4810 7.7989 2.8222
Al Ag
7 5
direct
0.4946 0.0000 0.6644
0.2379 0.5000 0.8333
0.7402 0.5000 0.8333
0.0112 0.0000 0.3333
0.7572 0.5000 0.4987
0.7572 0.5000 0.1680
0.4946 0.0000 0.0022
0.2541 0.5000 0.5028
0.2541 0.5000 0.1639
0.9881 0.0000 0.6666
0.9881 0.0000 0.0000
0.5228 0.0000 0.3333


Short version: version Q is the most stable of them.


Version P
Al7Ag5 | Alexandria | GGA-PBE | relaxed; DOS at the Fermi energy = 4.5 states/eV/f.u.; space group = C2, No. 5; spin magnetization = 0.0000 μB per atom
1.0
-4.0332 0.3841 4.9040
-4.2042 -2.9088 -3.7851
1.6198 -4.1181 2.6332
Ag Al
5 7
direct
0.0071 0.0071 0.0000
0.0869 0.5747 0.7450
0.5747 0.0869 0.2550
0.7401 0.2520 0.7495
0.2520 0.7401 0.2505
0.5033 0.5033 0.5000
0.8336 0.8336 0.5000
0.1653 0.1653 0.5000
0.9133 0.4162 0.2501
0.6719 0.6719 0.0000
0.4162 0.9133 0.7499
0.3357 0.3357 0.0000


Version Q
Al7Ag5 | Alexandria | GGA-PBE | relaxed; DOS at the Fermi energy = 3.2 states/eV/f.u.; space group = P2/m, No. 10; spin magnetization = 0.0000 μB per atom
1.0
-1.7185 -0.5563 3.5378
-7.9705 -1.3285 -4.0808
2.8107 -5.2524 0.5395
Al Ag
7 5
direct
0.5000 0.5008 0.0048
0.0000 0.0031 0.5019
0.0000 0.3302 0.1648
0.0000 0.6667 0.3333
0.5000 0.5004 0.4959
0.5000 0.8329 0.1708
0.5000 0.8325 0.6619
0.5000 0.1667 0.3333
0.0000 0.9934 0.9968
0.0000 0.6667 0.8333
0.5000 0.1667 0.8333
0.0000 0.3400 0.6699


Short version: version Q is the most stable of them.